# 1
InRe4 | PBE | relaxed

abc: 4.864 4.864 4.864
angles: 100.11 100.11 130.45
Sites, in units of the cell vectors:
In (0.000, 0.000, 0.000)
Re (0.420, 0.802, 0.222)
Re (0.580, 0.198, 0.778)
Re (0.198, 0.420, 0.618)
Re (0.802, 0.580, 0.382)

Values from the calculation:
* DOS at the Fermi energy: 4.63 states/eV/f.u.
* ΔE to the lowest computed polymorph: 0.0 meV per atom
* ΔH_f (0 K): 0.376 eV/atom
* size of the total moment: 0.00 μB/cell

# 2
DySiPd6 | PBE | relaxed

abc: 5.613 5.613 6.551
angles: 64.63 64.63 60.00
Sites, in units of the cell vectors:
Pd (0.563, 0.085, 0.266)
Pd (0.915, 0.437, 0.734)
Dy (0.500, 0.500, 0.500)
Pd (0.085, 0.085, 0.266)
Pd (0.437, 0.915, 0.734)
Pd (0.085, 0.563, 0.266)
Si (0.000, 0.000, 0.000)
Pd (0.915, 0.915, 0.734)

Values from the calculation:
* DOS at the Fermi energy: 3.66 states/eV/f.u.
* size of the total moment: 0.00 μB/cell
* energy: -5.56 eV per atom

# 3
HfPb2Au2 | PBE | relaxed

abc: 7.346 7.346 4.458
angles: 90.00 90.00 90.00
Sites, in units of the cell vectors:
Au (0.865, 0.635, 0.000)
Pb (0.322, 0.178, 0.500)
Hf (0.000, 0.000, 0.000)
Au (0.635, 0.135, 0.000)
Hf (0.500, 0.500, 0.000)
Pb (0.678, 0.822, 0.500)
Au (0.365, 0.865, 0.000)
Pb (0.822, 0.322, 0.500)
Au (0.135, 0.365, 0.000)
Pb (0.178, 0.678, 0.500)

Values from the calculation:
* DOS at the Fermi energy: 2.67 states/eV/f.u.
* ΔH_f (0 K): 0.006 eV/atom
* size of the total moment: 0.00 μB/cell

# 4
Ga3Ag8Au2 | PBE | relaxed

abc: 5.661 7.837 6.973
angles: 124.19 100.57 90.00
Sites, in units of the cell vectors:
Au (0.762, 0.819, 0.638)
Ag (0.232, 0.785, 0.571)
Ag (0.768, 0.215, 0.429)
Ag (0.857, 0.582, 0.164)
Ga (0.500, 0.000, 0.000)
Ag (0.547, 0.192, 0.758)
Ag (0.143, 0.418, 0.836)
Ga (0.000, 0.808, 0.000)
Au (0.238, 0.181, 0.362)
Ag (0.547, 0.566, 0.758)
Ga (0.000, 0.192, 0.000)
Ag (0.453, 0.808, 0.242)
Ag (0.453, 0.434, 0.242)

Values from the calculation:
* DOS at the Fermi energy: 4.52 states/eV/f.u.
* ΔH_f (0 K): 0.044 eV/atom
* size of the total moment: 0.00 μB/cell

# 5
Na3DyTi2Se6 | PBE | relaxed

abc: 6.760 6.760 7.377
angles: 98.85 98.85 120.32
Last column: magnetic moment on the atom in μB.
Sites, in units of the cell vectors:
Ti (0.671, 0.329, 0.000)  0.85
Se (0.427, 0.073, 0.219)  -0.03
Na (0.500, 0.500, 0.500)  0.00
Na (0.160, 0.840, 0.500)  0.00
Ti (0.329, 0.671, 0.000)  0.85
Dy (0.000, 0.000, 0.000)  0.06
Se (0.717, 0.717, 0.215)  -0.02
Se (0.073, 0.427, 0.219)  -0.03
Se (0.573, 0.927, 0.781)  -0.03
Se (0.283, 0.283, 0.785)  -0.02
Se (0.927, 0.573, 0.781)  -0.03
Na (0.840, 0.160, 0.500)  0.00

Values from the calculation:
* DOS at the Fermi energy: 6.48 states/eV/f.u.
* size of the total moment: 2.01 μB/cell
* energy: -5.09 eV per atom

# 6
Cr2HgPt2 | PBE | relaxed

abc: 7.573 7.573 2.909
angles: 90.00 90.00 90.00
Last column: magnetic moment on the atom in μB.
Sites, in units of the cell vectors:
Cr (0.661, 0.839, 0.500)  2.95
Pt (0.134, 0.366, 0.000)  0.06
Pt (0.634, 0.134, 0.000)  0.05
Hg (0.000, 0.000, 0.000)  -0.01
Cr (0.339, 0.161, 0.500)  2.95
Pt (0.366, 0.866, 0.000)  0.05
Cr (0.839, 0.339, 0.500)  2.97
Hg (0.500, 0.500, 0.000)  -0.01
Pt (0.866, 0.634, 0.000)  0.06
Cr (0.161, 0.661, 0.500)  2.97

Values from the calculation:
* DOS at the Fermi energy: 7.19 states/eV/f.u.
* ΔE to the lowest computed polymorph: 0.0 meV per atom
* ΔH_f (0 K): 0.049 eV/atom
* size of the total moment: 12.94 μB/cell

# 7
Ni3RuRh2 | PBE | relaxed

abc: 4.469 5.281 6.927
angles: 112.40 92.08 89.99
Sites, in units of the cell vectors:
Rh (0.325, 0.335, 0.670)
Rh (0.325, 0.835, 0.670)
Rh (0.675, 0.665, 0.330)
Ni (0.826, 0.084, 0.669)
Ni (0.826, 0.584, 0.669)
Ru (0.000, 0.000, 0.000)
Ni (0.500, 0.750, 0.000)
Ni (0.174, 0.416, 0.331)
Ni (0.500, 0.250, 0.000)
Ru (0.000, 0.500, 0.000)
Rh (0.675, 0.165, 0.330)
Ni (0.174, 0.916, 0.331)

Values from the calculation:
* DOS at the Fermi energy: 9.99 states/eV/f.u.
* ΔH_f (0 K): 0.084 eV/atom
* size of the total moment: 0.00 μB/cell

# 8
In5AgAu6 | PBE | relaxed

abc: 7.162 8.516 6.682
angles: 108.33 98.75 127.03
Sites, in units of the cell vectors:
In (0.000, 0.500, 0.000)
Au (0.837, 0.589, 0.673)
In (0.671, 0.171, 0.342)
Au (0.497, 0.245, 0.000)
Au (0.503, 0.755, 0.000)
In (0.329, 0.829, 0.658)
In (0.334, 0.334, 0.669)
Au (0.164, 0.916, 0.327)
In (0.666, 0.666, 0.331)
Au (0.163, 0.411, 0.327)
Au (0.836, 0.084, 0.673)
Ag (0.000, 0.000, 0.000)

Values from the calculation:
* DOS at the Fermi energy: 3.62 states/eV/f.u.
* ΔH_f (0 K): -0.101 eV/atom
* size of the total moment: 0.00 μB/cell

# 9
Li4MgF6 | PBE | relaxed

abc: 6.237 6.237 6.237
angles: 87.75 87.75 92.25
Sites, in units of the cell vectors:
Li (0.554, 0.946, 0.750)
F (0.809, 0.561, 0.525)
F (0.439, 0.525, 0.809)
Li (0.446, 0.054, 0.250)
F (0.061, 0.309, 0.025)
F (0.025, 0.939, 0.309)
Li (0.750, 0.446, 0.946)
Li (0.946, 0.250, 0.446)
F (0.939, 0.691, 0.975)
F (0.309, 0.975, 0.939)
Mg (0.500, 0.500, 0.500)
Li (0.054, 0.750, 0.554)
F (0.191, 0.439, 0.475)
F (0.561, 0.475, 0.191)
Li (0.250, 0.250, 0.750)
F (0.475, 0.809, 0.439)
F (0.525, 0.191, 0.561)
Mg (0.000, 0.000, 0.000)
Li (0.250, 0.554, 0.054)
F (0.975, 0.061, 0.691)
F (0.691, 0.025, 0.061)
Li (0.750, 0.750, 0.250)

Values from the calculation:
* DOS at the Fermi energy: 0.00 states/eV/f.u.
* size of the total moment: 0.00 μB/cell
* energy: -4.84 eV per atom

# 10
Mg2MnSb | PBE | relaxed

abc: 5.324 5.324 3.177
angles: 90.01 90.01 112.53
Last column: magnetic moment on the atom in μB.
Sites, in units of the cell vectors:
Mg (0.500, 0.500, 0.000)  -0.03
Mg (0.000, 0.000, 0.000)  -0.03
Sb (0.000, 0.500, 0.500)  0.01
Mn (0.500, 0.000, 0.500)  3.69

Values from the calculation:
* DOS at the Fermi energy: 2.13 states/eV/f.u.
* size of the total moment: 3.72 μB/cell
* energy: -4.04 eV per atom

# 11
LiIrCl4 | PBE | relaxed

abc: 6.915 6.915 6.088
angles: 124.61 124.61 90.00
Last column: magnetic moment on the atom in μB.
Sites, in units of the cell vectors:
Cl (0.733, 0.628, 0.911)  0.11
Li (0.750, 0.250, 0.500)  0.00
Cl (0.372, 0.822, 0.089)  0.11
Cl (0.178, 0.283, 0.911)  0.11
Ir (0.500, 0.500, 0.000)  1.33
Cl (0.717, 0.267, 0.089)  0.11

Values from the calculation:
* DOS at the Fermi energy: 2.17 states/eV/f.u.
* size of the total moment: 2.00 μB/cell
* energy: -3.68 eV per atom

# 12
Cd2Ag4Au | PBE | relaxed

abc: 3.831 3.831 10.127
angles: 100.90 100.90 90.00
Sites, in units of the cell vectors:
Au (0.000, 0.000, 0.000)
Cd (0.422, 0.422, 0.843)
Ag (0.859, 0.859, 0.719)
Ag (0.141, 0.141, 0.281)
Cd (0.578, 0.578, 0.157)
Ag (0.250, 0.750, 0.500)
Ag (0.750, 0.250, 0.500)

Values from the calculation:
* DOS at the Fermi energy: 1.69 states/eV/f.u.
* ΔE to the lowest computed polymorph: 84.9 meV per atom
* ΔH_f (0 K): 0.078 eV/atom
* size of the total moment: 0.00 μB/cell